No. 1
An optimized crystal structure of La2Pm5TmTh. Source: the Alexandria database, functional GGA-PBE.

Cell and atoms, written as POSCAR:
```
La2Pm5TmTh
1.0
5.717 0.000 0.000
-2.859 10.315 0.000
0.000 0.000 10.677
Pm La Tm Th
10 4 2 2
Cartesian
0.000 0.314 0.197
2.859 10.001 5.536
2.859 2.383 5.588
0.000 7.932 0.249
2.859 4.251 2.176
0.000 9.967 7.942
2.859 4.640 8.689
0.000 6.064 7.514
0.000 5.675 3.350
2.859 0.348 2.604
0.000 2.390 3.356
2.859 7.925 8.695
0.000 2.374 7.827
2.859 7.941 2.488
0.000 8.350 4.936
2.859 1.965 10.274
2.859 6.218 5.457
0.000 4.097 0.118
```

Output
**SG**: Cmc2_1


No. 2
An optimized crystal structure of La2Pm4TmTh. Source: the Alexandria database, functional GGA-PBE.

Cell and atoms, written as POSCAR:
```
La2Pm4TmTh
1.0
6.091 0.001 0.000
0.001 5.822 1.754
0.001 3.692 8.804
La Pm Tm Th
2 4 1 1
Cartesian
0.001 3.692 8.804
3.046 7.669 6.156
3.046 4.217 7.068
6.091 7.126 7.944
3.046 5.298 3.490
6.091 2.389 2.615
0.001 4.757 5.279
3.045 2.911 0.877
```

Output
**SG**: P2/m


| no. | energy of formation (meV per atom) | N(E_F) (states/eV/cell) | total DFT energy (no corrections) (eV per atom) |
| --- | --- | --- | --- |
| 1 | 141 | 25.25 | -4.914 |
| 2 | 130 | 16.20 | -4.964 |